(1)
Crystalline CaHo2O4 at its relaxed geometry, computed with PBE.

```
CaHo2O4
1.0
6.147 -1.702 0.000
6.147 1.702 0.000
-2.622 0.000 5.156
Ca Ho O
1 2 4
direct
0.000 0.000 0.000
0.289 0.289 0.293
0.711 0.711 0.707
0.139 0.139 0.442
0.351 0.351 0.987
0.649 0.649 0.013
0.861 0.861 0.558
```

Calculated values
Space group: No. 12
M_tot, μB/f.u.: 0.00
Volume, A^3/atom: 15.41
Energy relative to the lowest polymorph listed for this composition, meV/atom: 45

(2)
Crystalline TcAsBr2 at its relaxed geometry, computed with PBE.

```
TcAsBr2
1.0
1.682 -2.853 0.000
1.682 2.853 0.000
0.000 0.000 9.772
Tc As Br
1 1 2
direct
0.000 0.000 0.000
0.500 0.500 0.825
0.000 0.000 0.576
0.500 0.500 0.207
```

Calculated values
Space group: No. 35
M_tot, μB/f.u.: 0.00
Volume, A^3/atom: 23.45
Energy relative to the lowest polymorph listed for this composition, meV/atom: 400

(3)
Crystalline Ac4Te2RhAu at its relaxed geometry, computed with PBE.

```
Ac4Te2RhAu
1.0
7.776 0.000 0.000
0.000 4.464 0.000
-2.552 0.000 8.098
Ac Te Rh Au
4 2 1 1
direct
0.227 0.000 0.214
0.247 0.500 0.783
0.753 0.500 0.217
0.773 0.000 0.786
0.000 0.000 0.500
0.500 0.500 0.500
0.000 0.500 0.000
0.500 0.000 0.000
```

Calculated values
Space group: No. 10
M_tot, μB/f.u.: 0.00
Volume, A^3/atom: 35.14
VASP energy, eV per atom: -5.29

(4)
Crystalline PmYLu4 at its relaxed geometry, computed with PBE.

```
PmYLu4
1.0
0.000 4.645 4.645
4.645 0.000 4.645
4.645 4.645 0.000
Pm Y Lu
1 1 4
direct
0.000 0.000 0.000
0.250 0.250 0.250
0.125 0.625 0.625
0.625 0.125 0.625
0.625 0.625 0.125
0.625 0.625 0.625
```

Calculated values
E_form, meV/atom: 267
Space group: No. 216
M_tot, μB/f.u.: 5.56
Volume, A^3/atom: 33.40

(5)
Crystalline Tl4ZnSe at its relaxed geometry, computed with PBE.

```
Tl4ZnSe
1.0
0.000 4.550 4.550
4.550 0.000 4.550
4.550 4.550 0.000
Tl Zn Se
4 1 1
direct
0.125 0.125 0.125
0.125 0.125 0.624
0.125 0.624 0.125
0.624 0.125 0.125
0.750 0.750 0.750
0.500 0.500 0.500
```

Calculated values
Space group: No. 216
M_tot, μB/f.u.: 0.00
Volume, A^3/atom: 31.39
VASP energy, eV per atom: -2.16

(6)
Crystalline ScInSi3 at its relaxed geometry, computed with PBE.

```
ScInSi3
1.0
5.035 0.000 0.000
0.000 5.035 0.000
0.000 0.000 5.035
Sc In Si
1 1 3
direct
0.000 0.000 0.000
0.500 0.500 0.500
0.000 0.500 0.500
0.500 0.000 0.500
0.500 0.500 0.000
```

Calculated values
Space group: No. 221
M_tot, μB/f.u.: 0.00
Volume, A^3/atom: 25.52
Energy relative to the lowest polymorph listed for this composition, meV/atom: 351

(7)
Crystalline Tl2Te6As3 at its relaxed geometry, computed with PBE.

```
Tl2Te6As3
1.0
3.639 -6.387 0.000
3.639 6.387 0.000
-2.624 0.000 7.608
Tl Te As
2 6 3
direct
0.158 0.842 0.000
0.842 0.158 0.000
0.083 0.410 0.715
0.268 0.268 0.295
0.410 0.083 0.715
0.590 0.917 0.285
0.732 0.732 0.705
0.917 0.590 0.285
0.000 0.000 0.500
0.320 0.680 0.500
0.680 0.320 0.500
```

Calculated values
Space group: No. 12
M_tot, μB/f.u.: 0.00
Volume, A^3/atom: 32.15
VASP energy, eV per atom: -3.47

(8)
Crystalline CrMo2Br at its relaxed geometry, computed with PBE.

```
CrMo2Br
1.0
4.732 -1.531 0.000
4.732 1.531 0.000
-0.689 0.000 4.492
Cr Mo Br
1 2 1
direct
0.000 0.000 0.000
0.264 0.264 0.786
0.736 0.736 0.214
0.500 0.500 0.500
```

Calculated values
Space group: No. 12
M_tot, μB/f.u.: 1.41
Volume, A^3/atom: 16.27
Energy relative to the lowest polymorph listed for this composition, meV/atom: 241

(9)
Crystalline NpW2S6 at its relaxed geometry, computed with PBE.

```
NpW2S6
1.0
5.977 -2.346 0.000
5.977 2.346 0.000
-4.941 0.000 6.742
Np W S
1 2 6
direct
0.000 0.000 0.000
0.199 0.199 0.629
0.801 0.801 0.371
0.029 0.029 0.688
0.268 0.268 0.398
0.357 0.357 0.971
0.643 0.643 0.029
0.732 0.732 0.602
0.971 0.971 0.312
```

Calculated values
Space group: No. 12
M_tot, μB/f.u.: 4.30
Volume, A^3/atom: 21.01
VASP energy, eV per atom: -7.61

(10)
Crystalline LuZnCoRh at its relaxed geometry, computed with PBE.

```
LuZnCoRh
1.0
0.000 3.132 3.132
3.132 0.000 3.132
3.132 3.132 0.000
Lu Zn Co Rh
1 1 1 1
direct
0.000 0.000 0.000
0.500 0.500 0.500
0.250 0.250 0.250
0.750 0.750 0.750
```

Calculated values
E_form, meV/atom: -398
Space group: No. 216
M_tot, μB/f.u.: 0.00
Volume, A^3/atom: 15.36

(11)
Crystalline DyAl4Pd2Au at its relaxed geometry, computed with PBE.

```
DyAl4Pd2Au
1.0
2.151 1.242 8.895
-2.151 1.242 8.895
0.000 -2.484 8.895
Dy Al Pd Au
1 4 2 1
direct
0.000 0.000 0.000
0.126 0.126 0.126
0.400 0.400 0.400
0.600 0.600 0.600
0.874 0.874 0.874
0.247 0.247 0.247
0.753 0.753 0.753
0.500 0.500 0.500
```

Calculated values
E_form, meV/atom: -634
Space group: No. 166
M_tot, μB/f.u.: 0.00
Volume, A^3/atom: 17.83